[1]
First-principles (PBE-GGA) data for a relaxed structure of ThSc2Te, as listed in Alexandria.

Structure (extended XYZ):
```
4
Lattice="3.726 0.000 0.000 0.000 3.726 0.000 0.000 0.000 7.305" Properties=species:S:1:pos:R:3 pbc="T T T"
Sc 0.000 0.000 5.679
Sc 0.000 0.000 1.626
Th 1.863 1.863 3.653
Te 1.863 1.863 0.000
```

## Properties
The total moment comes out at 0.000 μB/atom. The value obtained for the raw formation energy is -0.520 eV/atom.

[2]
First-principles (PBE-GGA) data for a relaxed structure of Sm8Al2In, as listed in Alexandria.

Structure (extended XYZ):
```
11
Lattice="5.010 0.000 0.000 0.000 8.172 0.110 -2.505 -3.336 7.829" Properties=species:S:1:pos:R:3 pbc="T T T"
Sm 2.505 4.064 5.575
Sm 0.000 1.784 6.232
Sm 0.000 -1.692 5.006
Sm 0.000 0.772 2.364
Sm 0.000 5.584 0.937
Sm 2.505 6.529 2.933
Al 2.505 1.024 4.391
Sm 2.505 3.052 1.707
Sm 2.505 -0.747 7.002
In 2.505 0.000 0.000
Al 0.000 3.812 3.548
```

## Properties
For the formation energy, the calculation gives -0.205 eV/atom. The total moment comes out at 0.000 μB/atom.

[3]
First-principles (PBE-GGA) data for a relaxed structure of CuSb2Te, as listed in Alexandria.

Structure (extended XYZ):
```
4
Lattice="-4.650 4.474 1.481 -6.392 -1.166 1.271 6.308 -1.383 1.457" Properties=species:S:1:pos:R:3 pbc="T T T"
Te -4.706 1.410 1.173
Sb -0.829 0.248 0.207
Sb -1.881 2.357 2.145
Cu -2.838 -0.437 2.061
```

## Properties
The total moment comes out at 0.000 μB/atom. The value obtained for the raw formation energy is 0.160 eV/atom.